# 1
# RbGaB3

RbGaB3 at its PBEsol-relaxed geometry (SCAN, the Alexandria database).

Results
As for the formation enthalpy at 0 K: 1828 meV per atom. The space group is Pm-3m (221). The calculation puts the density of states at the Fermi level at 2.32 states/eV per cell.

```
RbGaB3
1.0
4.386 0.000 0.000
0.000 4.386 0.000
0.000 0.000 4.386
Rb Ga B
1 1 3
Cartesian
0.000 0.000 0.000
2.193 2.193 2.193
0.000 2.193 2.193
2.193 0.000 2.193
2.193 2.193 0.000
```

# 2
# Ba2SeBr

Ba2SeBr at its PBEsol-relaxed geometry (SCAN, the Alexandria database).

Results
Its energy above the most stable polymorph in this dataset is 0 meV per atom. The space group is R-3m (166). The calculation puts the density of states at the Fermi level at 1.56 states/eV per cell. The raw formation energy comes out at -2.07 eV per atom.

```
Ba2SeBr
1.0
2.315 1.337 7.530
-2.315 1.337 7.530
0.000 -2.674 7.530
Ba Se Br
2 1 1
Cartesian
0.000 0.000 5.521
0.000 0.000 17.067
0.000 0.000 11.294
0.000 0.000 0.000
```

# 3
# TcRhCl

TcRhCl at its PBEsol-relaxed geometry (SCAN, the Alexandria database).

Results
Its energy above the most stable polymorph in this dataset is 0 meV per atom. The space group is I4mm (107). The calculation puts the density of states at the Fermi level at 2.18 states/eV per cell. The raw formation energy comes out at 0.25 eV per atom.

```
TcRhCl
1.0
-1.409 1.409 5.564
1.409 -1.409 5.564
1.409 1.409 -5.564
Tc Rh Cl
1 1 1
Cartesian
0.000 0.000 0.000
0.000 0.000 3.941
0.000 0.000 7.241
```

# 4
# Li2YPb2

Li2YPb2 at its PBEsol-relaxed geometry (SCAN, the Alexandria database).

Results
As for the formation enthalpy at 0 K: -526 meV per atom. Its energy above the most stable polymorph in this dataset is 33 meV per atom. The space group is P4/mbm (127). The calculation puts the density of states at the Fermi level at 3.92 states/eV per cell.

```
Li2YPb2
1.0
8.181 0.000 0.000
0.000 8.181 0.000
0.000 0.000 3.299
Li Y Pb
4 2 4
Cartesian
0.936 3.155 0.000
3.155 7.245 0.000
5.026 0.936 0.000
7.245 5.026 0.000
0.000 0.000 0.000
4.091 4.091 0.000
1.476 5.566 1.649
2.615 1.476 1.649
5.566 6.705 1.649
6.705 2.615 1.649
```

# 5
# KP3

KP3 at its PBEsol-relaxed geometry (SCAN, the Alexandria database).

Results
As for the formation enthalpy at 0 K: 711 meV per atom. Its energy above the most stable polymorph in this dataset is 0 meV per atom. The space group is Pm-3m (221). The calculation puts the density of states at the Fermi level at 2.06 states/eV per cell.

```
KP3
1.0
4.142 0.000 0.000
0.000 4.142 0.000
0.000 0.000 4.142
K P
1 3
Cartesian
0.000 0.000 0.000
0.000 2.071 2.071
2.071 0.000 2.071
2.071 2.071 0.000
```

# 6
# NaBe2Au2

NaBe2Au2 at its PBEsol-relaxed geometry (SCAN, the Alexandria database).

Results
As for the formation enthalpy at 0 K: -349 meV per atom. The space group is P4/mbm (127). The calculation puts the density of states at the Fermi level at 2.12 states/eV per cell.

```
NaBe2Au2
1.0
7.202 0.000 0.000
0.000 7.202 0.000
0.000 0.000 2.700
Na Be Au
2 4 4
Cartesian
0.000 0.000 0.000
3.601 3.601 0.000
0.833 2.768 0.000
2.768 6.369 0.000
4.434 0.833 0.000
6.369 4.434 0.000
1.264 4.865 1.350
2.337 1.264 1.350
4.865 5.938 1.350
5.938 2.337 1.350
```

# 7
# Rb2CuMoBr6

Rb2CuMoBr6 at its PBEsol-relaxed geometry (SCAN, the Alexandria database).

Results
The space group is Fm-3m (225). The raw formation energy comes out at -1.10 eV per atom.

```
Rb2CuMoBr6
1.0
0.000 5.190 5.190
5.190 0.000 5.190
5.190 5.190 0.000
Rb Cu Mo Br
2 1 1 6
Cartesian
2.595 2.595 2.595
7.785 7.785 7.785
0.000 0.000 0.000
5.190 5.190 5.190
5.190 5.190 2.602
5.190 2.602 5.190
7.778 5.190 5.190
2.602 5.190 5.190
5.190 7.778 5.190
5.190 5.190 7.778
```

# 8
# LaRhPb2

LaRhPb2 at its PBEsol-relaxed geometry (SCAN, the Alexandria database).

Results
As for the formation enthalpy at 0 K: -616 meV per atom. The space group is Cmmm (65). The calculation puts the density of states at the Fermi level at 1.22 states/eV per cell.

```
LaRhPb2
1.0
2.741 -4.165 0.000
2.741 4.165 0.000
0.000 0.000 4.589
La Rh Pb
1 1 2
Cartesian
0.000 0.000 0.000
2.741 0.000 0.000
2.741 1.521 2.294
2.741 -1.521 2.294
```

# 9
# LiCd2Pt

LiCd2Pt at its PBEsol-relaxed geometry (SCAN, the Alexandria database).

Results
As for the formation enthalpy at 0 K: -489 meV per atom. Its energy above the most stable polymorph in this dataset is 0 meV per atom. The space group is I4/mmm (139). The calculation puts the density of states at the Fermi level at 1.23 states/eV per cell.

```
LiCd2Pt
1.0
-2.223 2.223 3.391
2.223 -2.223 3.391
2.223 2.223 -3.391
Li Cd Pt
1 2 1
Cartesian
0.000 0.000 0.000
2.223 0.000 1.696
0.000 2.223 1.696
0.000 0.000 3.391
```

# 10
# LiZnAsSe2

LiZnAsSe2 at its PBEsol-relaxed geometry (SCAN, the Alexandria database).

Results
The space group is P4/mmm (123). The calculation puts the density of states at the Fermi level at 3.03 states/eV per cell. The raw formation energy comes out at 0.16 eV per atom.

```
LiZnAsSe2
1.0
5.020 0.000 0.000
0.000 5.020 0.000
0.000 0.000 4.658
Li Zn As Se
1 1 1 2
Cartesian
0.000 0.000 0.000
2.510 2.510 2.329
2.510 2.510 0.000
0.000 2.510 2.329
2.510 0.000 2.329
```

# 11
# Co3AsCl

Co3AsCl at its PBEsol-relaxed geometry (SCAN, the Alexandria database).

Results
The space group is Pm-3m (221). The calculation puts the density of states at the Fermi level at 3.00 states/eV per cell. The raw formation energy comes out at 0.94 eV per atom.

```
Co3AsCl
1.0
4.076 0.000 0.000
0.000 4.076 0.000
0.000 0.000 4.076
Co As Cl
3 1 1
Cartesian
0.000 0.000 2.038
0.000 2.038 0.000
2.038 0.000 0.000
2.038 2.038 2.038
0.000 0.000 0.000
```

# 12
# BeSbAs2

BeSbAs2 at its PBEsol-relaxed geometry (SCAN, the Alexandria database).

Results
Its energy above the most stable polymorph in this dataset is 187 meV per atom. The space group is P2/m (10). The calculation puts the density of states at the Fermi level at 1.58 states/eV per cell. The raw formation energy comes out at 0.19 eV per atom.

```
BeSbAs2
1.0
4.422 0.000 0.000
0.000 3.719 0.000
-1.536 0.000 4.557
Be Sb As
1 1 2
Cartesian
0.000 0.000 0.000
1.443 0.000 2.278
-0.231 1.859 3.696
3.117 1.859 0.861
```

# 13
# Na3SiNiCO7

Na3SiNiCO7 at its PBEsol-relaxed geometry (SCAN, the Alexandria database).

Results
The space group is P2_1/m (11). The raw formation energy comes out at -2.02 eV per atom.

```
Na3SiNiCO7
1.0
5.107 0.000 0.000
0.000 6.281 0.000
-0.099 0.000 9.083
Na Si Ni C O
6 2 2 2 14
Cartesian
1.140 1.570 0.877
1.219 3.187 6.663
1.219 6.234 6.663
3.789 0.047 2.420
3.789 3.094 2.420
3.868 4.710 8.207
1.513 1.570 3.924
3.495 4.710 5.160
1.103 4.710 3.151
3.904 1.570 5.932
1.458 4.710 0.541
3.550 1.570 8.542
0.429 4.710 1.357
0.674 1.570 5.297
1.118 4.710 8.361
1.224 0.303 2.895
1.224 2.837 2.895
1.866 4.710 4.839
2.365 1.570 8.063
2.643 4.710 1.020
3.142 1.570 4.244
3.783 3.443 6.188
3.783 5.978 6.188
3.890 1.570 0.723
4.334 4.710 3.787
4.579 1.570 7.726
```

# 14
# CeCo2Si2

CeCo2Si2 at its PBEsol-relaxed geometry (SCAN, the Alexandria database).

Results
The space group is I4/mmm (139). The calculation puts the density of states at the Fermi level at 3.89 states/eV per cell. The raw formation energy comes out at -0.69 eV per atom.

```
CeCo2Si2
1.0
-1.941 1.941 4.851
1.941 -1.941 4.851
1.941 1.941 -4.851
Ce Co Si
1 2 2
Cartesian
0.000 0.000 0.000
1.941 0.000 2.426
0.000 1.941 2.426
0.000 0.000 3.594
0.000 0.000 6.109
```

# 15
# LiTi2Co

LiTi2Co at its PBEsol-relaxed geometry (SCAN, the Alexandria database).

Results
As for the formation enthalpy at 0 K: 306 meV per atom. The space group is I-42d (122). The calculation puts the density of states at the Fermi level at 6.66 states/eV per cell.

```
LiTi2Co
1.0
-3.338 3.338 2.595
3.338 -3.338 2.595
3.338 3.338 -2.595
Li Ti Co
2 4 2
Cartesian
0.000 0.000 0.000
0.000 3.338 1.298
1.669 1.905 -0.649
4.771 1.669 0.649
1.669 1.433 1.946
-1.433 1.669 3.244
3.338 0.000 1.298
0.000 0.000 2.595
```

# 16
# LiAgPt2

LiAgPt2 at its PBEsol-relaxed geometry (SCAN, the Alexandria database).

Results
As for the formation enthalpy at 0 K: -342 meV per atom. Its energy above the most stable polymorph in this dataset is 28 meV per atom. The space group is C2/m (12). The calculation puts the density of states at the Fermi level at 1.18 states/eV per cell.

```
LiAgPt2
1.0
2.689 -4.645 0.000
2.689 4.645 0.000
-1.301 0.000 2.385
Li Ag Pt
1 1 2
Cartesian
0.000 0.000 0.000
2.689 0.000 0.000
0.694 2.323 1.192
0.694 -2.323 1.192
```

# 17
# MnPtOF2

MnPtOF2 at its PBEsol-relaxed geometry (SCAN, the Alexandria database).

Results
Its energy above the most stable polymorph in this dataset is 0 meV per atom. The space group is P4/mmm (123). The calculation puts the density of states at the Fermi level at 2.88 states/eV per cell. The raw formation energy comes out at -1.06 eV per atom.

```
MnPtOF2
1.0
3.827 0.000 0.000
0.000 3.827 0.000
0.000 0.000 3.973
Mn Pt O F
1 1 1 2
Cartesian
0.000 0.000 0.000
1.914 1.914 1.986
0.000 0.000 1.986
0.000 1.914 0.000
1.914 0.000 0.000
```

# 18
# SbTeAs2

SbTeAs2 at its PBEsol-relaxed geometry (SCAN, the Alexandria database).

Results
Its energy above the most stable polymorph in this dataset is 426 meV per atom. The space group is I-4m2 (119). The calculation puts the density of states at the Fermi level at 2.91 states/eV per cell. The raw formation energy comes out at 0.49 eV per atom.

```
SbTeAs2
1.0
-2.059 2.059 5.410
2.059 -2.059 5.410
2.059 2.059 -5.410
Sb Te As
1 1 2
Cartesian
0.000 0.000 0.000
0.000 2.059 2.705
2.059 0.000 2.705
0.000 0.000 5.410
```

# 19
# Ba2SiMo

Ba2SiMo at its PBEsol-relaxed geometry (SCAN, the Alexandria database).

Results
The space group is Imm2 (44). The calculation puts the density of states at the Fermi level at 3.22 states/eV per cell. The raw formation energy comes out at 0.35 eV per atom.

```
Ba2SiMo
1.0
-1.957 2.722 5.387
1.957 -2.722 5.387
1.957 2.722 -5.387
Ba Si Mo
2 1 1
Cartesian
0.000 0.000 0.000
0.000 2.722 2.150
1.957 0.000 2.936
0.000 0.000 4.326
```

# 20
# TlAsBr

TlAsBr at its PBEsol-relaxed geometry (SCAN, the Alexandria database).

Results
The space group is P3m1 (156). The calculation puts the density of states at the Fermi level at 1.70 states/eV per cell. The raw formation energy comes out at 0.18 eV per atom.

```
TlAsBr
1.0
4.945 0.000 0.000
-2.473 4.283 0.000
0.000 0.000 3.480
Tl As Br
1 1 1
Cartesian
0.000 0.000 0.000
0.000 2.855 3.454
2.473 1.428 1.733
```

# 21
# TaBePb

TaBePb at its PBEsol-relaxed geometry (SCAN, the Alexandria database).

Results
As for the formation enthalpy at 0 K: 1338 meV per atom. The space group is F-43m (216). The calculation puts the density of states at the Fermi level at 3.05 states/eV per cell.

```
TaBePb
1.0
0.000 3.155 3.155
3.155 0.000 3.155
3.155 3.155 0.000
Ta Be Pb
1 1 1
Cartesian
0.000 0.000 0.000
3.155 3.155 3.155
1.577 1.577 1.577
```

# 22
# CaCd2Mo

CaCd2Mo at its PBEsol-relaxed geometry (SCAN, the Alexandria database).

Results
As for the formation enthalpy at 0 K: 404 meV per atom. The space group is Cm (8). The calculation puts the density of states at the Fermi level at 1.76 states/eV per cell.

```
CaCd2Mo
1.0
5.239 -1.504 0.000
5.239 1.504 0.000
-1.267 0.000 5.125
Ca Cd Mo
1 2 1
Cartesian
0.000 0.000 0.000
1.539 0.000 3.924
4.624 0.000 2.466
7.591 0.000 1.460
```

# 23
# BeCr4Pt

BeCr4Pt at its PBEsol-relaxed geometry (SCAN, the Alexandria database).

Results
As for the formation enthalpy at 0 K: 128 meV per atom. The space group is F-43m (216). The calculation puts the density of states at the Fermi level at 5.13 states/eV per cell.

```
BeCr4Pt
1.0
0.000 3.281 3.281
3.281 0.000 3.281
3.281 3.281 0.000
Be Cr Pt
1 4 1
Cartesian
0.000 0.000 0.000
2.439 2.439 2.439
4.123 4.123 2.439
4.123 2.439 4.123
2.439 4.123 4.123
4.921 4.921 4.921
```

# 24
# YCo12B6

YCo12B6 at its PBEsol-relaxed geometry (SCAN, the Alexandria database).

Results
As for the formation enthalpy at 0 K: -268 meV per atom. The space group is R-3m (166). The calculation puts the density of states at the Fermi level at 12.13 states/eV per cell.

```
YCo12B6
1.0
4.633 2.675 2.436
-4.633 2.675 2.436
0.000 -5.350 2.436
Y Co B
1 12 6
Cartesian
0.000 0.000 0.000
-1.704 -2.952 3.653
-3.408 0.000 3.653
-1.249 -0.721 2.672
1.249 -0.721 2.672
0.000 1.442 2.672
1.704 -2.952 3.653
-1.704 2.952 3.653
0.000 -1.442 4.635
-1.249 0.721 4.635
1.249 0.721 4.635
3.408 0.000 3.653
1.704 2.952 3.653
0.000 -2.385 2.790
-2.065 1.192 2.790
-2.065 -1.192 4.517
2.065 1.192 2.790
2.065 -1.192 4.517
0.000 2.385 4.517
```

# 25
# TaTlMo3

TaTlMo3 at its PBEsol-relaxed geometry (SCAN, the Alexandria database).

Results
As for the formation enthalpy at 0 K: 1804 meV per atom. The space group is Pm-3m (221). The calculation puts the density of states at the Fermi level at 5.98 states/eV per cell.

```
TaTlMo3
1.0
4.741 0.000 0.000
0.000 4.741 0.000
0.000 0.000 4.741
Ta Tl Mo
1 1 3
Cartesian
0.000 0.000 0.000
2.370 2.370 2.370
0.000 0.000 2.370
0.000 2.370 0.000
2.370 0.000 0.000
```

# 26
# SrRePt2

SrRePt2 at its PBEsol-relaxed geometry (SCAN, the Alexandria database).

Results
As for the formation enthalpy at 0 K: -2 meV per atom. Its energy above the most stable polymorph in this dataset is 127 meV per atom. The space group is P4/mmm (123). The calculation puts the density of states at the Fermi level at 1.81 states/eV per cell.

```
SrRePt2
1.0
5.020 0.000 0.000
0.000 5.020 0.000
0.000 0.000 2.792
Sr Re Pt
1 1 2
Cartesian
0.000 0.000 0.000
2.510 2.510 0.000
0.000 2.510 1.396
2.510 0.000 1.396
```

# 27
# WCN2

WCN2 at its PBEsol-relaxed geometry (SCAN, the Alexandria database).

Results
The space group is R-3m (166). The calculation puts the density of states at the Fermi level at 2.39 states/eV per cell. The raw formation energy comes out at 1.70 eV per atom.

```
WCN2
1.0
1.307 0.755 5.864
-1.307 0.755 5.864
0.000 -1.509 5.864
W C N
1 1 2
Cartesian
0.000 0.000 0.000
0.000 0.000 8.797
0.000 0.000 2.039
0.000 0.000 15.554
```